DFT (PBE) results for a geometry-optimized CsHgSO4 structure.

Results
- Raw total energy: -0.357 Ry per atom
- Uncorrected formation energy: -1.275 eV per atom
- DOS(E_F): 3.7 states/eV per cell

Cell and atoms, written as POSCAR:
```
CsHgSO4
1.0
6.850 -1.134 0.000
-3.790 5.818 0.000
0.000 0.000 8.431
Cs Hg S O
2 2 2 8
direct
0.793 0.207 0.250
0.207 0.793 0.750
0.500 0.500 0.500
0.500 0.500 0.000
0.102 0.898 0.250
0.898 0.102 0.750
0.190 0.253 0.750
0.747 0.810 0.750
0.832 0.168 0.895
0.832 0.168 0.605
0.168 0.832 0.105
0.168 0.832 0.395
0.810 0.747 0.250
0.253 0.190 0.250
```